Entry 1:
Computed, not measured: crystalline VHgNCl2 at its relaxed geometry at the GGA-PBE level of DFT.

Calculated values
DOS(E_F), states/eV/atom: 1.25
Formation energy from raw total energies, eV per atom: 1.325
SG: P4/mmm, No. 123
E_tot, eV/atom: -2.963
Total moment, μB per formula unit: 0.542

Unit cell a=4.7418 b=4.3889 c=4.7418 alpha=90.00 beta=90.00 gamma=90.00
With the nearest neighbours (Å) after each atom.
Sites, in units of the cell vectors:
N (0.0000, 0.0000, 0.0000)  2 Hg 2.19, 4 Cl 2.37
Cl (0.0000, 0.0000, 0.5000)  2 N 2.37
Cl (0.5000, 0.0000, 0.0000)  2 N 2.37
Hg (0.0000, 0.5000, 0.0000)  2 N 2.19
V (0.5000, 0.5000, 0.5000)  8 Cl 3.23, 4 Hg 3.35

=====

Entry 2:
Computed, not measured: crystalline PaGaPt4 at its relaxed geometry at the GGA-PBE level of DFT.

Calculated values
DOS(E_F), states/eV/atom: 0.28
SG: F-43m, No. 216
Energy of formation from the pure elements, kcal/mol of atoms: -17.1
E_tot, eV/atom: -6.855
Total moment, μB per formula unit: 0.000
Offset from the most stable computed form, meV per atom: 33

Unit cell a=5.3553 b=5.3553 c=5.3553 alpha=60.00 beta=60.00 gamma=60.00
With the nearest neighbours (Å) after each atom.
Sites, in units of the cell vectors:
Pa (0.2500, 0.2500, 0.2500)  12 Pt 3.14, 4 Ga 3.28
Ga (0.0000, 0.0000, 0.0000)  12 Pt 3.14, 4 Pa 3.28
Pt (0.6256, 0.6256, 0.1233)  6 Pt 2.67-2.69
Pt (0.6256, 0.1233, 0.6256)  6 Pt 2.67-2.69
Pt (0.6256, 0.6256, 0.6256)  6 Pt 2.67-2.69
Pt (0.1233, 0.6256, 0.6256)  6 Pt 2.67-2.69

=====

Entry 3:
Computed, not measured: crystalline DyPdAu3 at its relaxed geometry at the GGA-PBE level of DFT.

Calculated values
DOS(E_F), states/eV/atom: 0.28
SG: P2_1/c, No. 14
Energy of formation from the pure elements, kcal/mol of atoms: -14.0
E_tot, eV/atom: -4.531
Total moment, μB per formula unit: 0.000
Offset from the most stable computed form, meV per atom: 0

Unit cell a=5.7999 b=7.5411 c=9.1990 alpha=108.20 beta=90.00 gamma=90.00
With the nearest neighbours (Å) after each atom.
Sites, in units of the cell vectors:
Dy (0.0035, 0.7083, 0.3035)  10 Au 2.90-3.18, 2 Pd 2.96-3.01
Dy (0.9965, 0.2917, 0.6965)  10 Au 2.90-3.18, 2 Pd 2.96-3.01
Dy (0.5035, 0.2917, 0.1965)  10 Au 2.90-3.18, 2 Pd 2.96-3.01
Dy (0.4965, 0.7083, 0.8035)  10 Au 2.90-3.18, 2 Pd 2.96-3.01
Pd (0.2482, 0.8847, 0.5959)  8 Au 2.77-3.08, 2 Dy 2.96-3.01
Pd (0.7518, 0.1153, 0.4041)  8 Au 2.77-3.08, 2 Dy 2.96-3.01
Pd (0.7482, 0.1153, 0.9041)  8 Au 2.77-3.08, 2 Dy 2.96-3.01
Pd (0.2518, 0.8847, 0.0959)  8 Au 2.77-3.08, 2 Dy 2.96-3.01
Au (0.2506, 0.1037, 0.4017)  4 Pd 2.78-2.91, 4 Au 2.82-3.01, 2 Dy 3.02-3.07
Au (0.7494, 0.8963, 0.5983)  4 Pd 2.78-2.91, 4 Au 2.82-3.01, 2 Dy 3.02-3.07
Au (0.7506, 0.8963, 0.0983)  4 Pd 2.78-2.91, 4 Au 2.82-3.01, 2 Dy 3.02-3.07
Au (0.2494, 0.1037, 0.9017)  4 Pd 2.78-2.91, 4 Au 2.82-3.01, 2 Dy 3.02-3.07
Au (0.5016, 0.7362, 0.3107)  3 Dy 2.90-3.18, 3 Pd 2.91-3.08, 7 Au 2.92-3.22
Au (0.4984, 0.2638, 0.6893)  3 Dy 2.90-3.18, 3 Pd 2.91-3.08, 7 Au 2.92-3.22
Au (0.0016, 0.2638, 0.1893)  3 Dy 2.90-3.18, 3 Pd 2.91-3.08, 7 Au 2.92-3.22
Au (0.9984, 0.7362, 0.8107)  3 Dy 2.90-3.18, 3 Pd 2.91-3.08, 7 Au 2.92-3.22
Au (0.2498, 0.4978, 0.4996)  1 Pd 2.77, 3 Au 2.82-2.90, 3 Dy 3.10
Au (0.7502, 0.5022, 0.5004)  1 Pd 2.77, 3 Au 2.82-2.90, 3 Dy 3.10
Au (0.7498, 0.5022, 0.0004)  1 Pd 2.77, 3 Au 2.82-2.90, 3 Dy 3.10
Au (0.2502, 0.4978, 0.9996)  1 Pd 2.77, 3 Au 2.82-2.90, 3 Dy 3.10

=====

Entry 4:
Computed, not measured: crystalline Tl3RuC at its relaxed geometry at the GGA-PBE level of DFT.

Calculated values
DOS(E_F), states/eV/atom: 1.05
SG: Pm-3m, No. 221
Energy of formation from the pure elements, kcal/mol of atoms: 36.6
E_tot, eV/atom: -3.531
Total moment, μB per formula unit: 1.946
Offset from the most stable computed form, meV per atom: 109

Unit cell a=4.8169 b=4.8169 c=4.8169 alpha=90.00 beta=90.00 gamma=90.00
With the nearest neighbours (Å) after each atom.
Sites, in units of the cell vectors:
Ru (0.5000, 0.5000, 0.5000)  12 Tl 3.41
Tl (0.0000, 0.5000, 0.0000)  2 C 2.41
Tl (0.0000, 0.0000, 0.5000)  2 C 2.41
Tl (0.5000, 0.0000, 0.0000)  2 C 2.41
C (0.0000, 0.0000, 0.0000)  6 Tl 2.41

=====

Entry 5:
Computed, not measured: crystalline BaCd at its relaxed geometry at the GGA-PBE level of DFT.

Calculated values
DOS(E_F), states/eV/atom: 0.23
SG: Fd-3m, No. 227
Energy of formation from the pure elements, kcal/mol of atoms: -4.1
E_tot, eV/atom: -1.598
Total moment, μB per formula unit: 0.000

Unit cell a=5.7590 b=5.7590 c=5.7590 alpha=120.02 beta=120.02 gamma=89.96
With the nearest neighbours (Å) after each atom.
Sites, in units of the cell vectors:
Ba (0.0000, 0.0000, 0.0000)  4 Cd 3.53, 4 Ba 3.53
Ba (0.2500, 0.7500, 0.5000)  4 Ba 3.53, 4 Cd 3.53
Cd (0.5000, 0.5000, 0.0000)  4 Ba 3.53, 4 Cd 3.53
Cd (0.7500, 0.2500, 0.5000)  4 Ba 3.53, 4 Cd 3.53

=====

Entry 6:
Computed, not measured: crystalline DyMgScAl at its relaxed geometry at the GGA-PBE level of DFT.

Calculated values
DOS(E_F), states/eV/atom: 0.62
SG: F-43m, No. 216
Energy of formation from the pure elements, kcal/mol of atoms: -6.2
E_tot, eV/atom: -4.338
Total moment, μB per formula unit: 0.000

Unit cell a=5.0496 b=5.0496 c=5.0496 alpha=60.00 beta=60.00 gamma=60.00
With the nearest neighbours (Å) after each atom.
Sites, in units of the cell vectors:
Sc (0.0000, 0.0000, 0.0000)  4 Mg 3.09, 4 Al 3.09
Mg (0.7500, 0.7500, 0.7500)  4 Dy 3.09, 4 Sc 3.09
Al (0.2500, 0.2500, 0.2500)  4 Dy 3.09, 4 Sc 3.09
Dy (0.5000, 0.5000, 0.5000)  4 Mg 3.09, 4 Al 3.09

=====

Entry 7:
Computed, not measured: crystalline CrFePt14 at its relaxed geometry at the GGA-PBE level of DFT.

Calculated values
DOS(E_F), states/eV/atom: 1.41
SG: P4/mmm, No. 123
Energy of formation from the pure elements, kcal/mol of atoms: -3.1
E_tot, eV/atom: -6.553
Total moment, μB per formula unit: 6.787

Unit cell a=5.5992 b=5.5992 c=7.8202 alpha=90.00 beta=90.00 gamma=90.00
With the nearest neighbours (Å) after each atom.
Sites, in units of the cell vectors:
Cr (0.3750, 0.3750, 0.5000)  12 Pt 2.73-2.80
Fe (0.8750, 0.8750, 0.5000)  12 Pt 2.74-2.80
Pt (0.8750, 0.8750, 0.0000)  12 Pt 2.80-2.83
Pt (0.3750, 0.3750, 0.0000)  12 Pt 2.80-2.83
Pt (0.8750, 0.3750, 0.5000)  8 Pt 2.74, 2 Fe 2.80, 2 Cr 2.80
Pt (0.8750, 0.3750, 0.0000)  12 Pt 2.80-2.83
Pt (0.3750, 0.8750, 0.5000)  8 Pt 2.74, 2 Fe 2.80, 2 Cr 2.80
Pt (0.3750, 0.8750, 0.0000)  12 Pt 2.80-2.83
Pt (0.6245, 0.1255, 0.2585)  1 Cr 2.73, 10 Pt 2.74-2.83, 1 Fe 2.74
Pt (0.6245, 0.1255, 0.7415)  1 Cr 2.73, 10 Pt 2.74-2.83, 1 Fe 2.74
Pt (0.1255, 0.6245, 0.2585)  1 Cr 2.73, 10 Pt 2.74-2.83, 1 Fe 2.74
Pt (0.1255, 0.6245, 0.7415)  1 Cr 2.73, 10 Pt 2.74-2.83, 1 Fe 2.74
Pt (0.6245, 0.6245, 0.2585)  1 Cr 2.73, 10 Pt 2.74-2.83, 1 Fe 2.74
Pt (0.6245, 0.6245, 0.7415)  1 Cr 2.73, 10 Pt 2.74-2.83, 1 Fe 2.74
Pt (0.1255, 0.1255, 0.2586)  1 Cr 2.73, 10 Pt 2.74-2.83, 1 Fe 2.74
Pt (0.1255, 0.1255, 0.7414)  1 Cr 2.73, 10 Pt 2.74-2.83, 1 Fe 2.74

=====

Entry 8:
Computed, not measured: crystalline LiReRu2 at its relaxed geometry at the GGA-PBE level of DFT.

Calculated values
DOS(E_F), states/eV/atom: 0.98
SG: P4mm, No. 99
Energy of formation from the pure elements, kcal/mol of atoms: 8.0
E_tot, eV/atom: -7.880
Total moment, μB per formula unit: 0.000
Offset from the most stable computed form, meV per atom: 338

Unit cell a=3.0225 b=3.0225 c=5.8150 alpha=90.00 beta=90.00 gamma=90.00
With the nearest neighbours (Å) after each atom.
Sites, in units of the cell vectors:
Li (0.0000, 0.0000, 0.4889)  4 Ru 2.41, 4 Re 2.55
Re (0.5000, 0.5000, 0.7268)  5 Ru 2.50-2.62, 4 Li 2.55
Ru (0.0000, 0.0000, 0.9873)  4 Re 2.62, 4 Ru 2.79, 2 Li 2.90-2.92
Ru (0.5000, 0.5000, 0.2969)  4 Li 2.41, 1 Re 2.50

=====

Entry 9:
Computed, not measured: crystalline Ti2CrTc2 at its relaxed geometry at the GGA-PBE level of DFT.

Calculated values
DOS(E_F), states/eV/atom: 1.28
SG: P4/mbm, No. 127
Energy of formation from the pure elements, kcal/mol of atoms: 1.0
E_tot, eV/atom: -9.184
Total moment, μB per formula unit: 0.000

Unit cell a=6.1537 b=6.1537 c=4.1824 alpha=90.00 beta=90.00 gamma=90.00
With the nearest neighbours (Å) after each atom.
Sites, in units of the cell vectors:
Cr (0.0000, 0.0000, 0.0000)  4 Tc 2.35
Cr (0.5000, 0.5000, 0.0000)  4 Tc 2.35
Tc (0.3507, 0.8507, 0.0000)  2 Cr 2.35, 2 Ti 2.59, 1 Tc 2.60
Tc (0.8507, 0.6493, 0.0000)  2 Cr 2.35, 2 Ti 2.59, 1 Tc 2.60
Tc (0.6493, 0.1493, 0.0000)  2 Cr 2.35, 2 Ti 2.59, 1 Tc 2.60
Tc (0.1493, 0.3507, 0.0000)  2 Cr 2.35, 2 Ti 2.59, 1 Tc 2.60
Ti (0.1758, 0.6758, 0.5000)  2 Tc 2.59
Ti (0.6758, 0.8242, 0.5000)  2 Tc 2.59
Ti (0.8242, 0.3242, 0.5000)  2 Tc 2.59
Ti (0.3242, 0.1758, 0.5000)  2 Tc 2.59

=====

Entry 10:
Computed, not measured: crystalline PrAl2Pd8 at its relaxed geometry at the GGA-PBE level of DFT.

Calculated values
DOS(E_F), states/eV/atom: 0.44
SG: P4/mmm, No. 123
Energy of formation from the pure elements, kcal/mol of atoms: -7.4
E_tot, eV/atom: -5.214
Total moment, μB per formula unit: 0.000

Unit cell a=6.1069 b=6.1069 c=5.6264 alpha=90.00 beta=90.00 gamma=90.00
With the nearest neighbours (Å) after each atom.
Sites, in units of the cell vectors:
Pr (0.5000, 0.5000, 0.5000)  8 Pd 2.80
Al (0.5000, 0.0000, 0.0000)  8 Pd 2.58
Al (0.0000, 0.5000, 0.0000)  8 Pd 2.58
Pd (0.7788, 0.7788, 0.2473)  2 Al 2.58, 4 Pd 2.70-2.84, 1 Pr 2.80
Pd (0.7788, 0.2212, 0.7527)  2 Al 2.58, 4 Pd 2.70-2.84, 1 Pr 2.80
Pd (0.7788, 0.7788, 0.7527)  2 Al 2.58, 4 Pd 2.70-2.84, 1 Pr 2.80
Pd (0.7788, 0.2212, 0.2473)  2 Al 2.58, 4 Pd 2.70-2.84, 1 Pr 2.80
Pd (0.2212, 0.7788, 0.2473)  2 Al 2.58, 4 Pd 2.70-2.84, 1 Pr 2.80
Pd (0.2212, 0.7788, 0.7527)  2 Al 2.58, 4 Pd 2.70-2.84, 1 Pr 2.80
Pd (0.2212, 0.2212, 0.2473)  2 Al 2.58, 4 Pd 2.70-2.84, 1 Pr 2.80
Pd (0.2212, 0.2212, 0.7527)  2 Al 2.58, 4 Pd 2.70-2.84, 1 Pr 2.80

=====

Entry 11:
Computed, not measured: crystalline Ca2LaSe3 at its relaxed geometry at the GGA-PBE level of DFT.

Calculated values
DOS(E_F), states/eV/atom: 0.25
Formation energy from raw total energies, eV per atom: -1.977
SG: Fddd, No. 70
E_tot, eV/atom: -5.207
Total moment, μB per formula unit: 0.000
Offset from the most stable computed form, meV per atom: 0

Unit cell a=14.0908 b=13.4369 c=7.3522 alpha=79.49 beta=69.65 gamma=30.86
With the nearest neighbours (Å) after each atom.
Sites, in units of the cell vectors:
Ca (0.0005, 0.0005, 0.4995)  6 Se 2.97-3.00
Ca (0.4164, 0.4164, 0.5836)  6 Se 2.96-3.00
Ca (0.8336, 0.8336, 0.6664)  6 Se 2.96-3.00
Ca (0.2495, 0.2495, 0.7505)  6 Se 2.97-3.00
Ca (0.7505, 0.7505, 0.2495)  6 Se 2.97-3.00
Ca (0.6664, 0.6664, 0.8336)  6 Se 2.96-3.00
Ca (0.5836, 0.5836, 0.4164)  6 Se 2.96-3.00
Ca (0.4995, 0.4995, 0.0005)  6 Se 2.97-3.00
La (0.9169, 0.9169, 0.0831)  6 Se 3.04-3.05
La (0.3331, 0.3331, 0.1669)  6 Se 3.04-3.05
La (0.1669, 0.1669, 0.3331)  6 Se 3.04-3.05
La (0.0831, 0.0831, 0.9169)  6 Se 3.04-3.05
Se (0.6680, 0.1678, 0.8257)  4 Ca 2.96-3.00, 2 La 3.04-3.05
Se (0.1678, 0.6680, 0.3385)  4 Ca 2.96-3.00, 2 La 3.04-3.05
Se (0.5820, 0.0822, 0.4243)  4 Ca 2.96-3.00, 2 La 3.04-3.05
Se (0.0822, 0.5820, 0.9115)  4 Ca 2.96-3.00, 2 La 3.04-3.05
Se (0.5063, 0.9937, 0.9937)  4 Ca 2.97-3.00, 2 La 3.04
Se (0.9937, 0.5063, 0.5063)  4 Ca 2.97-3.00, 2 La 3.04
Se (0.9115, 0.4243, 0.0822)  4 Ca 2.96-3.00, 2 La 3.04-3.05
Se (0.4243, 0.9115, 0.5820)  4 Ca 2.96-3.00, 2 La 3.04-3.05
Se (0.3385, 0.8257, 0.1678)  4 Ca 2.96-3.00, 2 La 3.04-3.05
Se (0.8257, 0.3385, 0.6680)  4 Ca 2.96-3.00, 2 La 3.04-3.05
Se (0.7437, 0.2563, 0.2563)  4 Ca 2.97-3.00, 2 La 3.04
Se (0.2563, 0.7437, 0.7437)  4 Ca 2.97-3.00, 2 La 3.04

=====

Entry 12:
Computed, not measured: crystalline AgSCl at its relaxed geometry at the GGA-PBE level of DFT.

Calculated values
Formation energy from raw total energies, eV per atom: -0.250
SG: Cm, No. 8
E_tot, eV/atom: -3.192
Total moment, μB per formula unit: 0.000
Offset from the most stable computed form, meV per atom: 0

Unit cell a=3.6681 b=13.4522 c=7.0297 alpha=90.00 beta=112.94 gamma=90.00
With the nearest neighbours (Å) after each atom.
Sites, in units of the cell vectors:
S (0.0198, 0.0731, 0.3481)  1 S 1.97
S (0.0198, 0.9269, 0.3481)  1 S 1.97
S (0.0198, 0.5731, 0.8481)  1 S 1.97
S (0.0198, 0.4269, 0.8481)  1 S 1.97
Ag (0.6981, 0.6357, 0.0858)  2 Cl 2.52, 2 S 2.54
Ag (0.6981, 0.3644, 0.0858)  2 Cl 2.52, 2 S 2.54
Ag (0.6981, 0.1356, 0.5858)  2 Cl 2.52, 2 S 2.54
Ag (0.6981, 0.8644, 0.5858)  2 Cl 2.52, 2 S 2.54
Cl (0.3875, 0.3225, 0.3393)  2 Ag 2.52
Cl (0.3875, 0.6775, 0.3393)  2 Ag 2.52
Cl (0.3875, 0.8225, 0.8393)  2 Ag 2.52
Cl (0.3875, 0.1775, 0.8393)  2 Ag 2.52

=====

Record-wise calculated volume values, in Å³/cell: 98.68; 108.60; 382.21; 111.77; 135.02; 91.04; 245.17; 53.12; 158.38; 209.83; 649.79; 319.44